# 1
The following is a PBE-GGA calculation of a geometry-optimized U2Co21P6 structure, from Alexandria.

a = 7.8329 Å, b = 7.8329 Å, c = 7.8329 Å
α = 60.00°, β = 60.00°, γ = 60.00°
With the nearest neighbours (Å) after each atom.
Sites, in units of the cell vectors:
P 0.2700 0.2700 0.7300  8 Co 2.19-2.24
P 0.7300 0.2700 0.2700  8 Co 2.19-2.24
P 0.7300 0.7300 0.2700  8 Co 2.19-2.24
P 0.2700 0.7300 0.7300  8 Co 2.19-2.24
P 0.2700 0.7300 0.2700  8 Co 2.19-2.24
P 0.7300 0.2700 0.7300  8 Co 2.19-2.24
Co 0.0000 0.0000 0.6557  2 P 2.19, 1 Co 2.44
Co 0.3443 0.0000 0.0000  2 P 2.19, 1 Co 2.44
Co 0.8600 0.3800 0.3800  3 P 2.24, 1 U 2.49
Co 0.0000 0.6557 0.0000  2 P 2.19, 1 Co 2.44
Co 0.0000 0.0000 0.0000  12 Co 2.70, 6 P 2.99
Co 0.0000 0.6557 0.3443  2 P 2.19, 1 Co 2.44
Co 0.6557 0.3443 0.0000  2 P 2.19, 1 Co 2.44
Co 0.0000 0.3443 0.0000  2 P 2.19, 1 Co 2.44
Co 0.3800 0.8600 0.3800  3 P 2.24, 1 U 2.49
Co 0.3443 0.0000 0.6557  2 P 2.19, 1 Co 2.44
Co 0.6557 0.0000 0.0000  2 P 2.19, 1 Co 2.44
Co 0.3800 0.3800 0.8600  3 P 2.24, 1 U 2.49
Co 0.6200 0.6200 0.1400  3 P 2.24, 1 U 2.49
Co 0.0000 0.0000 0.3443  2 P 2.19, 1 Co 2.44
Co 0.6557 0.0000 0.3443  2 P 2.19, 1 Co 2.44
Co 0.1400 0.6200 0.6200  3 P 2.24, 1 U 2.49
Co 0.3800 0.3800 0.3800  3 P 2.24, 1 U 2.49
Co 0.3443 0.6557 0.0000  2 P 2.19, 1 Co 2.44
Co 0.6200 0.1400 0.6200  3 P 2.24, 1 U 2.49
Co 0.0000 0.3443 0.6557  2 P 2.19, 1 Co 2.44
Co 0.6200 0.6200 0.6200  3 P 2.24, 1 U 2.49
U 0.2500 0.2500 0.2500  4 Co 2.49
U 0.7500 0.7500 0.7500  4 Co 2.49

Space group: Fm-3m (225)
Energy of formation: -0.38 eV per atom
Electronic total energy: -0.5453 Ry per atom

=====

# 2
The following is a PBE-GGA calculation of a geometry-optimized LiAgRu2 structure, from Alexandria.

a = 2.8009 Å, b = 2.8009 Å, c = 7.5524 Å
α = 90.00°, β = 90.00°, γ = 90.00°
With the nearest neighbours (Å) after each atom.
Sites, in units of the cell vectors:
Ag 0.0000 0.0000 0.5091  4 Li 2.74, 4 Ag 2.80, 4 Ru 2.93
Li 0.5000 0.5000 0.7591  4 Ru 2.73, 4 Ag 2.74, 4 Li 2.80
Ru 0.5000 0.5000 0.2231  8 Ru 2.56-2.80
Ru 0.0000 0.0000 0.0087  8 Ru 2.56-2.80, 4 Li 2.73

Space group: P4mm (99)
Energy of formation: 0.17 eV per atom
Energy relative to the lowest polymorph listed for this composition: 0 meV per atom
Electronic total energy: -0.4156 Ry per atom

=====

# 3
The following is a PBE-GGA calculation of a geometry-optimized ScTcCF2 structure, from Alexandria.

a = 4.1495 Å, b = 4.0818 Å, c = 4.1495 Å
α = 90.00°, β = 90.00°, γ = 90.00°
With the nearest neighbours (Å) after each atom.
Sites, in units of the cell vectors:
Tc 0.0000 0.5000 0.0000  2 C 2.04
F 0.0000 0.0000 0.5000  2 C 2.07
F 0.5000 0.0000 0.0000  2 C 2.07
Sc 0.5000 0.5000 0.5000  8 F 2.91, 4 Tc 2.93
C 0.0000 0.0000 0.0000  2 Tc 2.04, 4 F 2.07

Space group: P4/mmm (123)
ΔE_f (raw): 109 meV/atom
Electronic total energy: -0.4281 Ry per atom

=====

# 4
The following is a PBE-GGA calculation of a geometry-optimized Tb3DyPb5 structure, from Alexandria.

a = 6.5541 Å, b = 9.5626 Å, c = 9.5626 Å
α = 120.00°, β = 90.00°, γ = 90.00°
With the nearest neighbours (Å) after each atom.
Sites, in units of the cell vectors:
Pb 0.7500 0.0000 0.7123  5 Tb 3.17-3.40, 2 Dy 3.20
Pb 0.0000 0.3333 0.6667  2 Pb 3.28, 6 Tb 3.41
Pb 0.2500 0.0000 0.2877  5 Tb 3.17-3.40, 2 Dy 3.20
Pb 0.2500 0.7123 0.7123  5 Tb 3.17-3.40, 2 Dy 3.20
Pb 0.7500 0.7123 0.0000  5 Tb 3.17-3.40, 2 Dy 3.20
Pb 0.2500 0.2877 0.0000  5 Tb 3.17-3.40, 2 Dy 3.20
Pb 0.7500 0.2877 0.2877  5 Tb 3.17-3.40, 2 Dy 3.20
Pb 0.5000 0.6667 0.3333  2 Pb 3.28, 6 Tb 3.41
Pb 0.0000 0.6667 0.3333  2 Pb 3.28, 6 Tb 3.41
Pb 0.5000 0.3333 0.6667  2 Pb 3.28, 6 Tb 3.41
Dy 0.0000 0.0000 0.0000  6 Pb 3.20, 2 Dy 3.28
Dy 0.5000 0.0000 0.0000  6 Pb 3.20, 2 Dy 3.28
Tb 0.2500 0.0000 0.6190  9 Pb 3.17-3.41
Tb 0.7500 0.0000 0.3810  9 Pb 3.17-3.41
Tb 0.2500 0.6190 0.0000  9 Pb 3.17-3.41
Tb 0.7500 0.3810 0.0000  9 Pb 3.17-3.41
Tb 0.2500 0.3810 0.3810  9 Pb 3.17-3.41
Tb 0.7500 0.6190 0.6190  9 Pb 3.17-3.41

Space group: P6_3/mcm (193)
Energy of formation: -0.42 eV per atom
Electronic total energy: -0.3333 Ry per atom

=====

# 5
The following is a PBE-GGA calculation of a geometry-optimized BaNa2AlO4 structure, from Alexandria.

a = 5.8151 Å, b = 5.4859 Å, c = 5.4859 Å
α = 82.86°, β = 57.99°, γ = 57.99°
With the nearest neighbours (Å) after each atom.
Sites, in units of the cell vectors:
Al 0.0000 0.5000 0.5000  4 O 1.79
O 0.6340 0.5505 0.8155  1 Al 1.79
O 0.0000 0.8155 0.5505  1 Al 1.79
O 0.0000 0.4495 0.1845  1 Al 1.79
O 0.3660 0.1845 0.4495  1 Al 1.79
Ba 0.0000 0.0000 0.0000  8 O 2.78-3.06
Na 0.5000 0.7500 0.2500  4 O 2.29
Na 0.5000 0.2500 0.7500  4 O 2.29

Space group: I-42m (121)
ΔE_f (raw): -2079 meV/atom
Electronic total energy: -0.4113 Ry per atom

=====

# 6
The following is a PBE-GGA calculation of a geometry-optimized K3Ca12H5 structure, from Alexandria.

a = 15.1072 Å, b = 15.1072 Å, c = 15.1072 Å
α = 109.47°, β = 109.47°, γ = 109.47°
With the nearest neighbours (Å) after each atom.
Sites, in units of the cell vectors:
Ca 0.6860 0.0928 0.9866  1 H 2.31
Ca 0.4068 0.0928 0.6062  1 H 2.31
Ca 0.4072 0.3938 0.0932  1 H 2.31
Ca 0.3938 0.9866 0.3005  1 H 2.31
Ca 0.8005 0.9068 0.3140  1 H 2.31
Ca 0.3938 0.4072 0.5932  1 H 2.31
Ca 0.9068 0.8005 0.8140  1 H 2.31
Ca 0.0932 0.1995 0.1860  1 H 2.31
Ca 0.6995 0.1860 0.5932  1 H 2.31
Ca 0.0134 0.6062 0.1995  1 H 2.31
Ca 0.1860 0.4866 0.5928  1 H 2.31
Ca 0.0932 0.8938 0.4072  1 H 2.31
Ca 0.5932 0.9072 0.3938  1 H 2.31
Ca 0.6062 0.5928 0.4068  1 H 2.31
Ca 0.5932 0.6860 0.6995  1 H 2.31
Ca 0.3005 0.8140 0.4068  1 H 2.31
Ca 0.5134 0.8140 0.9072  1 H 2.31
Ca 0.8140 0.5134 0.4072  1 H 2.31
Ca 0.3140 0.9072 0.0134  1 H 2.31
Ca 0.9072 0.3140 0.5134  1 H 2.31
Ca 0.5134 0.6995 0.1062  1 H 2.31
Ca 0.5928 0.6062 0.9068  1 H 2.31
Ca 0.0928 0.4068 0.1062  1 H 2.31
Ca 0.8140 0.3005 0.9068  1 H 2.31
Ca 0.5928 0.9866 0.1860  1 H 2.31
Ca 0.1860 0.6995 0.0932  1 H 2.31
Ca 0.6860 0.5932 0.1995  1 H 2.31
Ca 0.8938 0.0932 0.9072  1 H 2.31
Ca 0.9068 0.1062 0.5928  1 H 2.31
Ca 0.1062 0.9068 0.0928  1 H 2.31
Ca 0.9866 0.3938 0.8005  1 H 2.31
Ca 0.6062 0.0134 0.6995  1 H 2.31
Ca 0.1995 0.0932 0.6860  1 H 2.31
Ca 0.0928 0.6860 0.4866  1 H 2.31
Ca 0.4068 0.3140 0.3005  1 H 2.31
Ca 0.9072 0.5932 0.8938  1 H 2.31
Ca 0.4866 0.1860 0.0928  1 H 2.31
Ca 0.0134 0.4072 0.3140  1 H 2.31
Ca 0.8005 0.8938 0.9866  1 H 2.31
Ca 0.6995 0.5134 0.6062  1 H 2.31
Ca 0.4072 0.0134 0.8140  1 H 2.31
Ca 0.3140 0.4068 0.8005  1 H 2.31
Ca 0.3005 0.4866 0.3938  1 H 2.31
Ca 0.9866 0.5928 0.6860  1 H 2.31
Ca 0.4866 0.3005 0.8938  1 H 2.31
Ca 0.1995 0.1062 0.0134  1 H 2.31
Ca 0.8938 0.8005 0.4866  1 H 2.31
Ca 0.1062 0.1995 0.5134  1 H 2.31
H 0.0000 0.0000 0.5000  6 Ca 2.80
H 0.3750 0.2500 0.1250  4 Ca 2.31
H 0.7500 0.6250 0.3750  4 Ca 2.31
H 0.7500 0.1250 0.8750  4 Ca 2.31
H 0.0000 0.5000 0.0000  6 Ca 2.80
H 0.2500 0.8750 0.1250  4 Ca 2.31
H 0.8750 0.6250 0.7500  4 Ca 2.31
H 0.2500 0.3750 0.6250  4 Ca 2.31
H 0.5000 0.5000 0.5000  6 Ca 2.80
H 0.1250 0.3750 0.2500  4 Ca 2.31
H 0.8750 0.2500 0.6250  4 Ca 2.31
H 0.5000 0.0000 0.5000  6 Ca 2.80
H 0.6250 0.7500 0.8750  4 Ca 2.31
H 0.3750 0.1250 0.7500  4 Ca 2.31
H 0.5000 0.0000 0.0000  6 Ca 2.80
H 0.5000 0.5000 0.0000  6 Ca 2.80
H 0.0000 0.5000 0.5000  6 Ca 2.80
H 0.0000 0.0000 0.0000  6 Ca 2.80
H 0.6250 0.8750 0.2500  4 Ca 2.31
H 0.1250 0.7500 0.3750  4 Ca 2.31
K 0.2500 0.6250 0.8750  8 Ca 3.67-3.80
K 0.3750 0.7500 0.6250  8 Ca 3.67-3.80
K 0.1250 0.8750 0.7500  8 Ca 3.67-3.80
K 0.6250 0.2500 0.3750  8 Ca 3.67-3.80
K 0.3750 0.6250 0.2500  8 Ca 3.67-3.80
K 0.8750 0.1250 0.2500  8 Ca 3.67-3.80
K 0.7500 0.8750 0.6250  8 Ca 3.67-3.80
K 0.1250 0.2500 0.8750  8 Ca 3.67-3.80
K 0.8750 0.7500 0.1250  8 Ca 3.67-3.80
K 0.6250 0.3750 0.7500  8 Ca 3.67-3.80
K 0.7500 0.3750 0.1250  8 Ca 3.67-3.80
K 0.2500 0.1250 0.3750  8 Ca 3.67-3.80

Space group: Ia-3d (230)
Electronic total energy: -0.1590 Ry per atom

=====

# 7
The following is a PBE-GGA calculation of a geometry-optimized Nd2YGa2Ag2 structure, from Alexandria.

a = 4.6340 Å, b = 4.6340 Å, c = 9.5951 Å
α = 76.03°, β = 76.03°, γ = 60.00°
With the nearest neighbours (Å) after each atom.
Sites, in units of the cell vectors:
Nd 0.1250 0.1250 0.6249  3 Ga 3.08, 3 Ag 3.23
Nd 0.8750 0.8750 0.3751  3 Ga 3.08, 3 Ag 3.23
Ga 0.7363 0.7363 0.7912  3 Ag 2.69
Ga 0.2637 0.2637 0.2088  3 Ag 2.69
Ag 0.6073 0.6073 0.1782  3 Ga 2.69
Ag 0.3927 0.3927 0.8218  3 Ga 2.69
Y 0.0000 0.0000 0.0000  6 Ag 3.14, 6 Ga 3.30, 2 Nd 3.46

Space group: R-3m (166)
Energy of formation: -0.38 eV per atom
Electronic total energy: -0.3194 Ry per atom

=====

# 8
The following is a PBE-GGA calculation of a geometry-optimized HfHSCl2 structure, from Alexandria.

a = 3.9262 Å, b = 3.9262 Å, c = 5.0474 Å
α = 90.00°, β = 90.00°, γ = 90.00°
With the nearest neighbours (Å) after each atom.
Sites, in units of the cell vectors:
Cl 0.0000 0.5000 0.0000  2 H 1.96
Cl 0.5000 0.0000 0.0000  2 H 1.96
H 0.0000 0.0000 0.0000  4 Cl 1.96
Hf 0.5000 0.5000 0.5000  4 S 2.78
S 0.0000 0.0000 0.5000  2 H 2.52, 4 Hf 2.78

Space group: P4/mmm (123)
Energy relative to the lowest polymorph listed for this composition: 735 meV per atom
Electronic total energy: -0.3092 Ry per atom

=====

# 9
The following is a PBE-GGA calculation of a geometry-optimized Mn6NbAl12 structure, from Alexandria.

a = 7.1304 Å, b = 7.1304 Å, c = 7.1304 Å
α = 109.47°, β = 109.47°, γ = 109.47°
With the nearest neighbours (Å) after each atom.
Sites, in units of the cell vectors:
Al 0.2755 0.0913 0.8158  3 Mn 2.38-2.63
Al 0.0913 0.8158 0.2755  3 Mn 2.38-2.63
Al 0.5403 0.8158 0.7245  3 Mn 2.38-2.63
Al 0.1842 0.7245 0.9087  3 Mn 2.38-2.63
Al 0.7245 0.9087 0.1842  3 Mn 2.38-2.63
Al 0.7245 0.5403 0.8158  3 Mn 2.38-2.63
Al 0.9087 0.1842 0.7245  3 Mn 2.38-2.63
Al 0.8158 0.2755 0.0913  3 Mn 2.38-2.63
Al 0.8158 0.7245 0.5403  3 Mn 2.38-2.63
Al 0.2755 0.4597 0.1842  3 Mn 2.38-2.63
Al 0.4597 0.1842 0.2755  3 Mn 2.38-2.63
Al 0.1842 0.2755 0.4597  3 Mn 2.38-2.63
Mn 0.3670 0.5000 0.8670  1 Mn 2.19, 2 Al 2.38
Mn 0.1330 0.6330 0.5000  1 Mn 2.19, 2 Al 2.38
Mn 0.5000 0.8670 0.3670  1 Mn 2.19, 2 Al 2.38
Mn 0.5000 0.1330 0.6330  1 Mn 2.19, 2 Al 2.38
Mn 0.8670 0.3670 0.5000  1 Mn 2.19, 2 Al 2.38
Mn 0.6330 0.5000 0.1330  1 Mn 2.19, 2 Al 2.38
Nb 0.0000 0.0000 0.0000  12 Al 2.73

Space group: Im-3 (204)
Energy of formation: -0.09 eV per atom
Electronic total energy: -0.4323 Ry per atom